Mg7Tl3Sn: optimized geometry, GGA-PBE.

The formation energy comes out at 0.19 eV/f.u. As for the space group: No. 12. The value obtained for the uncorrected energy is -0.07376 hartree per atom. As for the volume: 25.56 Å³/atom. For the density of states at the Fermi level, the calculation gives 3.389 states/eV per cell.

abc: 5.6928 7.6471 7.6471
angles: 92.45 111.70 111.70
Closest atoms and distances in Å follow each position.
Sites, in units of the cell vectors:
Mg (0.3290, 0.5984, 0.0596)  4 Tl 2.97-3.24, 4 Mg 3.06-3.27
Mg (0.0000, 0.5000, 0.5000)  2 Sn 2.85, 2 Tl 2.96
Mg (0.3290, 0.0596, 0.5984)  4 Tl 2.97-3.24, 4 Mg 3.06-3.27
Mg (0.6710, 0.4016, 0.9404)  4 Tl 2.97-3.24, 4 Mg 3.06-3.27
Mg (0.8302, 0.8221, 0.8221)  1 Sn 2.88, 3 Tl 3.01-3.23, 1 Mg 3.18
Mg (0.1698, 0.1779, 0.1779)  1 Sn 2.88, 3 Tl 3.01-3.23, 1 Mg 3.18
Mg (0.6710, 0.9404, 0.4016)  4 Tl 2.97-3.24, 4 Mg 3.06-3.27
Sn (0.5000, 0.5000, 0.5000)  4 Mg 2.85-2.88
Tl (0.0000, 0.2316, 0.7684)  9 Mg 2.96-3.24
Tl (0.0000, 0.7684, 0.2316)  9 Mg 2.96-3.24
Tl (0.5000, 0.0000, 0.0000)  8 Mg 2.97-3.29

Mg9TlSn2: optimized geometry, GGA-PBE.

The formation energy comes out at -1.12 eV/f.u. As for the space group: No. 123. The value obtained for the uncorrected energy is -0.07915 hartree per atom. As for the volume: 22.86 Å³/atom. For the density of states at the Fermi level, the calculation gives 5.524 states/eV per cell.

abc: 4.5164 4.5164 13.4500
angles: 90.00 90.00 90.00
Closest atoms and distances in Å follow each position.
Sites, in units of the cell vectors:
Sn (0.0000, 0.0000, 0.3329)  12 Mg 3.15-3.19
Sn (0.0000, 0.0000, 0.6671)  12 Mg 3.15-3.19
Mg (0.0000, 0.5000, 0.1695)  2 Sn 3.15, 8 Mg 3.19-3.21, 2 Tl 3.21
Mg (0.5000, 0.5000, 0.3367)  8 Mg 3.15-3.19, 4 Sn 3.19
Mg (0.0000, 0.5000, 0.8305)  2 Sn 3.15, 8 Mg 3.19-3.21, 2 Tl 3.21
Mg (0.5000, 0.0000, 0.8305)  2 Sn 3.15, 8 Mg 3.19-3.21, 2 Tl 3.21
Mg (0.5000, 0.5000, 0.6633)  8 Mg 3.15-3.19, 4 Sn 3.19
Mg (0.5000, 0.0000, 0.5000)  8 Mg 3.15-3.19, 4 Sn 3.19
Mg (0.0000, 0.5000, 0.5000)  8 Mg 3.15-3.19, 4 Sn 3.19
Mg (0.5000, 0.5000, 0.0000)  4 Tl 3.19, 8 Mg 3.21
Mg (0.5000, 0.0000, 0.1695)  2 Sn 3.15, 8 Mg 3.19-3.21, 2 Tl 3.21
Tl (0.0000, 0.0000, 0.0000)  12 Mg 3.19-3.21

Mg15Tl4Sn: optimized geometry, GGA-PBE.

The formation energy comes out at -0.91 eV/f.u. As for the space group: No. 123. The value obtained for the uncorrected energy is -0.07038 hartree per atom. As for the volume: 23.01 Å³/atom. For the density of states at the Fermi level, the calculation gives 10.005 states/eV per cell.

abc: 4.5052 4.5052 22.6730
angles: 90.00 90.00 90.00
Closest atoms and distances in Å follow each position.
Sites, in units of the cell vectors:
Mg (0.5000, 0.5000, 0.8022)  4 Tl 3.19, 8 Mg 3.20-3.21
Mg (0.0000, 0.5000, 0.5000)  8 Mg 3.19-3.20, 4 Tl 3.21
Mg (0.5000, 0.5000, 0.0000)  8 Mg 3.16, 4 Sn 3.19
Mg (0.5000, 0.0000, 0.0978)  2 Sn 3.16, 8 Mg 3.16-3.20, 2 Tl 3.22
Mg (0.0000, 0.5000, 0.2986)  4 Tl 3.18-3.21, 8 Mg 3.19-3.21
Mg (0.5000, 0.5000, 0.3995)  4 Tl 3.19, 8 Mg 3.20-3.21
Mg (0.0000, 0.5000, 0.7014)  4 Tl 3.18-3.21, 8 Mg 3.19-3.21
Mg (0.0000, 0.5000, 0.9022)  2 Sn 3.16, 8 Mg 3.16-3.20, 2 Tl 3.22
Mg (0.5000, 0.5000, 0.1978)  4 Tl 3.19, 8 Mg 3.20-3.21
Mg (0.5000, 0.0000, 0.7014)  4 Tl 3.18-3.21, 8 Mg 3.19-3.21
Mg (0.5000, 0.0000, 0.9022)  2 Sn 3.16, 8 Mg 3.16-3.20, 2 Tl 3.22
Mg (0.5000, 0.0000, 0.2986)  4 Tl 3.18-3.21, 8 Mg 3.19-3.21
Mg (0.0000, 0.5000, 0.0978)  2 Sn 3.16, 8 Mg 3.16-3.20, 2 Tl 3.22
Mg (0.5000, 0.0000, 0.5000)  8 Mg 3.19-3.20, 4 Tl 3.21
Mg (0.5000, 0.5000, 0.6005)  4 Tl 3.19, 8 Mg 3.20-3.21
Tl (0.0000, 0.0000, 0.8006)  12 Mg 3.18-3.22
Tl (0.0000, 0.0000, 0.3993)  12 Mg 3.19-3.21
Tl (0.0000, 0.0000, 0.1994)  12 Mg 3.18-3.22
Tl (0.0000, 0.0000, 0.6007)  12 Mg 3.19-3.21
Sn (0.0000, 0.0000, 0.0000)  12 Mg 3.16-3.19

Please write out number 2 again, unchanged.
Mg9TlSn2: optimized geometry, GGA-PBE.

The formation energy comes out at -1.12 eV/f.u. As for the space group: No. 123. The value obtained for the uncorrected energy is -0.07915 hartree per atom. As for the volume: 22.86 Å³/atom. For the density of states at the Fermi level, the calculation gives 5.524 states/eV per cell.

abc: 4.5164 4.5164 13.4500
angles: 90.00 90.00 90.00
Closest atoms and distances in Å follow each position.
Sites, in units of the cell vectors:
Sn (0.0000, 0.0000, 0.3329)  12 Mg 3.15-3.19
Sn (0.0000, 0.0000, 0.6671)  12 Mg 3.15-3.19
Mg (0.0000, 0.5000, 0.1695)  2 Sn 3.15, 8 Mg 3.19-3.21, 2 Tl 3.21
Mg (0.5000, 0.5000, 0.3367)  8 Mg 3.15-3.19, 4 Sn 3.19
Mg (0.0000, 0.5000, 0.8305)  2 Sn 3.15, 8 Mg 3.19-3.21, 2 Tl 3.21
Mg (0.5000, 0.0000, 0.8305)  2 Sn 3.15, 8 Mg 3.19-3.21, 2 Tl 3.21
Mg (0.5000, 0.5000, 0.6633)  8 Mg 3.15-3.19, 4 Sn 3.19
Mg (0.5000, 0.0000, 0.5000)  8 Mg 3.15-3.19, 4 Sn 3.19
Mg (0.0000, 0.5000, 0.5000)  8 Mg 3.15-3.19, 4 Sn 3.19
Mg (0.5000, 0.5000, 0.0000)  4 Tl 3.19, 8 Mg 3.21
Mg (0.5000, 0.0000, 0.1695)  2 Sn 3.15, 8 Mg 3.19-3.21, 2 Tl 3.21
Tl (0.0000, 0.0000, 0.0000)  12 Mg 3.19-3.21